Material: NaAgRu3
Method: DFT, GGA-PBE
State: relaxed

Cell lengths 4.5804, 4.5804, 4.5804 Å; angles 90.00, 90.00, 90.00 degrees
Atoms (fractional coordinates):
Ru (0.0000, 0.0000, 0.5000)
Ru (0.0000, 0.5000, 0.0000)
Ru (0.5000, 0.0000, 0.0000)
Na (0.0000, 0.0000, 0.0000)
Ag (0.5000, 0.5000, 0.5000)

Output
- relative energy among the computed polymorphs (meV per atom) = 209.0
- DOS(E_F) (states/eV per cell) = 4.6
- energy of formation from the pure elements (eV per atom) = 2.3278

---

Material: NaAgRu3
Method: DFT, GGA-PBE
State: relaxed

Cell lengths 4.9478, 4.9478, 4.9478 Å; angles 90.00, 90.00, 90.00 degrees
Atoms (fractional coordinates):
Ru (0.0000, 0.0000, 0.5000)
Ru (0.0000, 0.5000, 0.0000)
Ru (0.5000, 0.0000, 0.0000)
Na (0.5000, 0.5000, 0.5000)
Ag (0.0000, 0.0000, 0.0000)

Output
- relative energy among the computed polymorphs (meV per atom) = 0.0
- DOS(E_F) (states/eV per cell) = 9.7
- energy of formation from the pure elements (eV per atom) = 2.1188

---

Material: NaAgRu
Method: DFT, GGA-PBE
State: relaxed

Cell lengths 6.9569, 2.7657, 11.5031 Å; angles 90.00, 108.38, 90.00 degrees
Atoms (fractional coordinates):
Na (0.1894, 0.5000, 0.2798)
Na (0.5365, 0.0000, 0.4287)
Na (0.5365, 0.5000, 0.9287)
Na (0.1894, 0.0000, 0.7798)
Ag (0.9112, 0.0000, 0.3859)
Ag (0.8670, 0.5000, 0.6078)
Ag (0.8670, 0.0000, 0.1078)
Ag (0.9112, 0.5000, 0.8859)
Ru (0.5672, 0.0000, 0.6868)
Ru (0.2646, 0.5000, 0.5659)
Ru (0.5672, 0.5000, 0.1868)
Ru (0.2646, 0.0000, 0.0659)

Output
- relative energy among the computed polymorphs (meV per atom) = 63.7
- DOS(E_F) (states/eV per cell) = 10.0
- energy of formation from the pure elements (eV per atom) = 0.4741

---

Material: NaAgRu
Method: DFT, GGA-PBE
State: relaxed

Cell lengths 5.8464, 8.2471, 4.4309 Å; angles 90.00, 90.00, 90.00 degrees
Atoms (fractional coordinates):
Ag (0.5000, 0.0000, 0.7729)
Ag (0.0000, 0.5000, 0.2729)
Ag (0.0000, 0.0000, 0.7729)
Ag (0.5000, 0.5000, 0.2729)
Ru (0.2500, 0.3060, 0.7779)
Ru (0.7500, 0.6940, 0.7779)
Ru (0.2500, 0.1940, 0.2779)
Ru (0.7500, 0.8060, 0.2779)
Na (0.2500, 0.6568, 0.7718)
Na (0.2500, 0.8432, 0.2718)
Na (0.7500, 0.1568, 0.2718)
Na (0.7500, 0.3432, 0.7718)

Output
- relative energy among the computed polymorphs (meV per atom) = 58.1
- DOS(E_F) (states/eV per cell) = 9.2
- energy of formation from the pure elements (eV per atom) = 0.4686

---

Material: NaAgRu
Method: DFT, GGA-PBE
State: relaxed

Cell lengths 7.5235, 2.8206, 11.8242 Å; angles 90.00, 112.13, 90.00 degrees
Atoms (fractional coordinates):
Na (0.1177, 0.0000, 0.6577)
Na (0.8823, 0.5000, 0.8423)
Na (0.8823, 0.0000, 0.3423)
Na (0.1177, 0.5000, 0.1577)
Ag (0.7129, 0.5000, 0.5440)
Ag (0.2871, 0.0000, 0.9560)
Ag (0.7129, 0.0000, 0.0440)
Ag (0.2871, 0.5000, 0.4560)
Ru (0.4876, 0.0000, 0.3321)
Ru (0.4876, 0.5000, 0.8321)
Ru (0.5124, 0.0000, 0.6679)
Ru (0.5124, 0.5000, 0.1679)

Output
- relative energy among the computed polymorphs (meV per atom) = 0.0
- DOS(E_F) (states/eV per cell) = 10.0
- energy of formation from the pure elements (eV per atom) = 0.4105

---

Material: NaAgRu
Method: DFT, GGA-PBE
State: relaxed

Cell lengths 5.2617, 2.7746, 15.0901 Å; angles 90.00, 107.51, 90.00 degrees
Atoms (fractional coordinates):
Ag (0.8186, 0.0000, 0.3263)
Ag (0.8186, 0.5000, 0.8263)
Ag (0.3481, 0.0000, 0.1583)
Ag (0.3481, 0.5000, 0.6583)
Na (0.8481, 0.0000, 0.6640)
Na (0.8500, 0.0000, 0.9912)
Na (0.8500, 0.5000, 0.4912)
Na (0.8481, 0.5000, 0.1640)
Ru (0.3300, 0.0000, 0.8378)
Ru (0.3403, 0.0000, 0.4804)
Ru (0.3300, 0.5000, 0.3378)
Ru (0.3403, 0.5000, 0.9804)

Output
- relative energy among the computed polymorphs (meV per atom) = 66.5
- DOS(E_F) (states/eV per cell) = 9.5
- energy of formation from the pure elements (eV per atom) = 0.4769

---

Material: NaAgRu
Method: DFT, GGA-PBE
State: relaxed

Cell lengths 7.7641, 2.8548, 11.3858 Å; angles 90.00, 112.67, 90.00 degrees
Atoms (fractional coordinates):
Ru (0.8409, 0.0000, 0.1200)
Ru (0.6255, 0.5000, 0.9552)
Ru (0.8409, 0.5000, 0.6200)
Ru (0.6255, 0.0000, 0.4552)
Na (0.2520, 0.0000, 0.7490)
Na (0.2520, 0.5000, 0.2490)
Na (0.0140, 0.5000, 0.9385)
Na (0.0140, 0.0000, 0.4385)
Ag (0.3938, 0.5000, 0.5455)
Ag (0.3938, 0.0000, 0.0455)
Ag (0.6745, 0.5000, 0.2602)
Ag (0.6745, 0.0000, 0.7602)

Output
- relative energy among the computed polymorphs (meV per atom) = 57.5
- DOS(E_F) (states/eV per cell) = 9.6
- energy of formation from the pure elements (eV per atom) = 0.4680

---

Material: NaAg2Ru
Method: DFT, GGA-PBE
State: relaxed

Cell lengths 4.6654, 4.6654, 4.6654 Å; angles 60.00, 60.00, 60.00 degrees
Atoms (fractional coordinates):
Ru (0.5000, 0.5000, 0.5000)
Ag (0.7500, 0.7500, 0.7500)
Ag (0.2500, 0.2500, 0.2500)
Na (0.0000, 0.0000, 0.0000)

Output
- relative energy among the computed polymorphs (meV per atom) = 0.0
- DOS(E_F) (states/eV per cell) = 8.1
- energy of formation from the pure elements (eV per atom) = 0.5884

---

Material: NaAg2SnRu
Method: DFT, GGA-PBE
State: relaxed

Cell lengths 5.3701, 5.2889, 5.3701 Å; angles 90.00, 90.00, 90.00 degrees
Atoms (fractional coordinates):
Ag (0.5000, 0.0000, 0.0000)
Ag (0.0000, 0.0000, 0.5000)
Sn (0.0000, 0.0000, 0.0000)
Ru (0.0000, 0.5000, 0.0000)
Na (0.5000, 0.5000, 0.5000)

Output
- DOS(E_F) (states/eV per cell) = 3.4
- energy of formation from the pure elements (eV per atom) = 0.7658

---

Material: Na2TcAgRu
Method: DFT, GGA-PBE
State: relaxed

Cell lengths 4.9307, 5.1387, 4.9307 Å; angles 90.00, 90.00, 90.00 degrees
Atoms (fractional coordinates):
Na (0.5000, 0.0000, 0.0000)
Na (0.0000, 0.0000, 0.5000)
Ag (0.0000, 0.0000, 0.0000)
Tc (0.5000, 0.5000, 0.5000)
Ru (0.0000, 0.5000, 0.0000)

Output
- relative energy among the computed polymorphs (meV per atom) = 0.0
- DOS(E_F) (states/eV per cell) = 4.2
- energy of formation from the pure elements (eV per atom) = 1.6582

---

Material: Na2TcAgRu
Method: DFT, GGA-PBE
State: relaxed

Cell lengths 4.8993, 5.2277, 4.8993 Å; angles 90.00, 90.00, 90.00 degrees
Atoms (fractional coordinates):
Ru (0.5000, 0.5000, 0.5000)
Ag (0.0000, 0.0000, 0.0000)
Tc (0.0000, 0.5000, 0.0000)
Na (0.0000, 0.0000, 0.5000)
Na (0.5000, 0.0000, 0.0000)

Output
- relative energy among the computed polymorphs (meV per atom) = 56.0
- DOS(E_F) (states/eV per cell) = 6.0
- energy of formation from the pure elements (eV per atom) = 1.7142

---

Material: NaAg5S4
Method: DFT, GGA-PBE
State: relaxed

Cell lengths 5.8867, 8.4787, 9.2683 Å; angles 90.00, 90.00, 90.00 degrees
Atoms (fractional coordinates):
S (0.9891, 0.5000, 0.7670)
S (0.5094, 0.7438, 0.0000)
S (0.0109, 0.0000, 0.2670)
S (0.9891, 0.5000, 0.2330)
S (0.4906, 0.2438, 0.5000)
S (0.4906, 0.7562, 0.5000)
S (0.0109, 0.0000, 0.7330)
S (0.5094, 0.2562, 0.0000)
Na (0.2154, 0.5000, 0.5000)
Na (0.7846, 0.0000, 0.0000)
Ag (0.2126, 0.7534, 0.1789)
Ag (0.2126, 0.2466, 0.1789)
Ag (0.2126, 0.7534, 0.8211)
Ag (0.7874, 0.7466, 0.3211)
Ag (0.7468, 0.5000, 0.0000)
Ag (0.7874, 0.7466, 0.6789)
Ag (0.7874, 0.2534, 0.3211)
Ag (0.7874, 0.2534, 0.6789)
Ag (0.2126, 0.2466, 0.8211)
Ag (0.2532, 0.0000, 0.5000)

Output
- DOS(E_F) (states/eV per cell) = 11.0
- ΔE_f (raw) (eV/atom) = -0.0878